Record 1
! TbHo2Tm, relaxed, DFT PBE-GGA; values from VASP
! ΔE_f: 0.0025 eV per atom
! V: 31.2 A^3/atom
! Magnetic moment: 0.000 μB/atom
&SYSTEM
  ibrav = 0, nat = 16, ntyp = 3
/
ATOMIC_SPECIES
Tb 158.93 Tb.upf
Ho 164.93 Ho.upf
Tm 168.93 Tm.upf
CELL_PARAMETERS angstrom
5.600 0.000 0.000
0.000 12.401 0.000
0.000 0.000 7.190
ATOMIC_POSITIONS crystal
Tb 0.943 0.667 0.250
Tb 0.443 0.333 0.750
Tb 0.443 0.833 0.750
Tb 0.943 0.167 0.250
Ho 0.443 0.084 0.000
Ho 0.443 0.584 0.500
Ho 0.943 0.916 0.000
Ho 0.943 0.416 0.500
Ho 0.943 0.416 0.000
Ho 0.443 0.584 0.000
Ho 0.443 0.084 0.500
Ho 0.943 0.916 0.500
Tm 0.943 0.666 0.750
Tm 0.443 0.834 0.250
Tm 0.943 0.166 0.750
Tm 0.443 0.334 0.250

Record 2
! Be2SiPb, relaxed, DFT PBE-GGA; values from VASP
! Uncorrected formation energy: 842 meV/atom
! V: 16.7 A^3/atom
! Magnetic moment: 0.000 μB/atom
&SYSTEM
  ibrav = 0, nat = 4, ntyp = 3
/
ATOMIC_SPECIES
Pb 207.20 Pb.upf
Be 9.01 Be.upf
Si 28.09 Si.upf
CELL_PARAMETERS angstrom
5.731 0.035 0.078
-2.318 3.895 0.001
1.094 1.354 3.001
ATOMIC_POSITIONS crystal
Pb 0.000 0.500 0.500
Be 0.000 0.000 0.000
Be 0.500 0.000 0.500
Si 0.500 0.500 0.000

Record 3
! Ac2Th2In3, relaxed, DFT PBE-GGA; values from VASP
! ΔE_f: -0.1602 eV per atom
! V: 32.5 A^3/atom
! Magnetic moment: 0.000 μB/atom
&SYSTEM
  ibrav = 0, nat = 7, ntyp = 3
/
ATOMIC_SPECIES
Ac 227.00 Ac.upf
Th 232.04 Th.upf
In 114.82 In.upf
CELL_PARAMETERS angstrom
-2.121 -4.248 0.823
3.201 -1.663 -0.339
1.035 -0.696 13.188
ATOMIC_POSITIONS crystal
Ac 0.574 0.500 0.852
Ac 0.426 0.500 0.148
Th 0.709 0.500 0.582
Th 0.291 0.500 0.418
In 0.845 0.000 0.309
In 0.000 0.000 0.000
In 0.155 0.000 0.691

Record 4
! Li2Ca2Pt, relaxed, DFT PBE-GGA; values from VASP
! ΔE_f: -0.0939 eV per atom
! V: 29.0 A^3/atom
! Magnetic moment: 0.000 μB/atom
&SYSTEM
  ibrav = 0, nat = 10, ntyp = 3
/
ATOMIC_SPECIES
Ca 40.08 Ca.upf
Pt 195.08 Pt.upf
Li 6.94 Li.upf
CELL_PARAMETERS angstrom
-0.134 7.249 -1.822
-2.172 -1.782 -6.927
-4.957 0.281 1.482
ATOMIC_POSITIONS crystal
Ca 0.331 0.831 0.000
Ca 0.831 0.669 0.000
Ca 0.669 0.169 0.000
Ca 0.169 0.331 0.000
Pt 0.000 0.000 0.000
Pt 0.500 0.500 0.000
Li 0.151 0.651 0.500
Li 0.651 0.849 0.500
Li 0.849 0.349 0.500
Li 0.349 0.151 0.500